Entry 1:
A relaxed structure of KTe2Au2Se6. Source: Alexandria, functional PBE.

The structure in POSCAR format:
```
KTe2Au2Se6
1.0
7.488 0.000 0.000
-3.142 6.943 0.000
-2.288 -1.909 7.659
K Te Au Se
1 2 2 6
direct
0.000 0.000 0.000
0.229 0.935 0.560
0.771 0.065 0.440
0.051 0.531 0.202
0.949 0.469 0.798
0.184 0.246 0.657
0.249 0.791 0.860
0.326 0.864 0.233
0.674 0.136 0.767
0.751 0.209 0.140
0.816 0.754 0.343
```

Calculated values
Crystal system: triclinic
Total magnetization (μB per cell): 0.00
Formation energy from raw total energies (eV/f.u.): -1.5

***

Entry 2:
A relaxed structure of Ce2PaGa2Ru5. Source: Alexandria, functional PBE.

The structure in POSCAR format:
```
Ce2PaGa2Ru5
1.0
10.041 0.000 0.000
0.000 10.041 0.000
0.000 0.000 3.595
Ce Pa Ga Ru
4 2 4 10
direct
0.168 0.332 0.000
0.332 0.832 0.000
0.668 0.168 0.000
0.832 0.668 0.000
0.000 0.000 0.000
0.500 0.500 0.000
0.127 0.627 0.000
0.373 0.127 0.000
0.627 0.873 0.000
0.873 0.373 0.000
0.000 0.500 0.500
0.074 0.798 0.500
0.202 0.074 0.500
0.298 0.574 0.500
0.426 0.298 0.500
0.500 0.000 0.500
0.574 0.702 0.500
0.702 0.426 0.500
0.798 0.926 0.500
0.926 0.202 0.500
```

Calculated values
Crystal system: tetragonal
E_form (kJ/mol of formula units): -454
Total magnetization (μB per cell): 0.23

***

Entry 3:
A relaxed structure of Al2TcO6. Source: Alexandria, functional PBE.

The structure in POSCAR format:
```
Al2TcO6
1.0
4.484 0.000 0.000
0.000 4.484 0.000
0.000 0.000 8.768
Al Tc O
4 2 12
direct
0.000 0.000 0.166
0.000 0.000 0.834
0.500 0.500 0.334
0.500 0.500 0.666
0.000 0.000 0.500
0.500 0.500 0.000
0.197 0.197 0.000
0.198 0.198 0.331
0.198 0.198 0.669
0.302 0.698 0.169
0.302 0.698 0.831
0.303 0.697 0.500
0.697 0.303 0.500
0.698 0.302 0.169
0.698 0.302 0.831
0.802 0.802 0.331
0.802 0.802 0.669
0.803 0.803 0.000
```

Calculated values
Crystal system: tetragonal
Total magnetization (μB per cell): 2.01
Formation energy from raw total energies (eV/f.u.): -19.7

***

Entry 4:
A relaxed structure of TlCoSbTe2. Source: Alexandria, functional PBE.

The structure in POSCAR format:
```
TlCoSbTe2
1.0
5.435 0.000 0.000
0.000 5.435 0.000
0.000 0.000 4.734
Tl Co Sb Te
1 1 1 2
direct
0.000 0.000 0.000
0.500 0.500 0.500
0.500 0.500 0.000
0.000 0.500 0.500
0.500 0.000 0.500
```

Calculated values
Crystal system: tetragonal
Total magnetization (μB per cell): 0.43
Formation energy from raw total energies (eV/f.u.): 1.0

***

Entry 5:
A relaxed structure of LiScCd14. Source: Alexandria, functional PBE.

The structure in POSCAR format:
```
LiScCd14
1.0
6.389 0.000 0.000
0.000 6.389 0.000
0.000 0.000 8.599
Li Sc Cd
1 1 14
direct
0.000 0.000 0.000
0.500 0.500 0.000
0.000 0.000 0.500
0.000 0.500 0.000
0.000 0.500 0.500
0.248 0.248 0.247
0.248 0.248 0.753
0.248 0.752 0.247
0.248 0.752 0.753
0.500 0.000 0.000
0.500 0.000 0.500
0.500 0.500 0.500
0.752 0.248 0.247
0.752 0.248 0.753
0.752 0.752 0.247
0.752 0.752 0.753
```

Calculated values
Crystal system: tetragonal
E_form (kJ/mol of formula units): -138
Total magnetization (μB per cell): 0.00

***

Entry 6:
A relaxed structure of ZnHgIN2. Source: Alexandria, functional PBE.

The structure in POSCAR format:
```
ZnHgIN2
1.0
4.260 0.000 0.000
0.000 4.260 0.000
0.000 0.000 8.203
Zn Hg I N
1 1 1 2
direct
0.000 0.000 0.000
0.500 0.500 0.500
0.500 0.500 0.000
0.000 0.500 0.500
0.500 0.000 0.500
```

Calculated values
E above lowest polymorph (meV/atom): 276
Crystal system: tetragonal
Total magnetization (μB per cell): 3.26
Formation energy from raw total energies (eV/f.u.): 8.5

***

Entry 7:
A relaxed structure of BaSbH2. Source: Alexandria, functional PBE.

The structure in POSCAR format:
```
BaSbH2
1.0
-2.487 2.487 6.960
2.487 -2.487 6.960
2.487 2.487 -6.960
Ba Sb H
2 2 4
direct
0.000 0.000 0.000
0.750 0.250 0.500
0.250 0.750 0.500
0.500 0.500 0.000
0.227 0.625 0.102
0.375 0.477 0.602
0.523 0.125 0.898
0.875 0.773 0.398
```

Calculated values
E above lowest polymorph (meV/atom): 267
Crystal system: tetragonal
Total magnetization (μB per cell): 0.00

***

Entry 8:
A relaxed structure of HfSeSCl2. Source: Alexandria, functional PBE.

The structure in POSCAR format:
```
HfSeSCl2
1.0
5.022 0.000 0.000
0.000 5.022 0.000
0.000 0.000 4.877
Hf Se S Cl
1 1 1 2
direct
0.000 0.000 0.000
0.500 0.500 0.500
0.500 0.500 0.000
0.000 0.500 0.500
0.500 0.000 0.500
```

Calculated values
E above lowest polymorph (meV/atom): 1265
Crystal system: tetragonal
Total magnetization (μB per cell): 1.80
Formation energy from raw total energies (eV/f.u.): 3.1

***

Entry 9:
A relaxed structure of CdCo2AsW. Source: Alexandria, functional PBE.

The structure in POSCAR format:
```
CdCo2AsW
1.0
4.563 0.000 0.000
0.000 4.563 0.000
0.000 0.000 4.802
Cd Co As W
1 2 1 1
direct
0.000 0.000 0.000
0.000 0.500 0.000
0.500 0.000 0.000
0.000 0.000 0.500
0.500 0.500 0.500
```

Calculated values
Crystal system: tetragonal
E_form (kJ/mol of formula units): 1078
Total magnetization (μB per cell): 2.59

***

Entry 10:
A relaxed structure of HfTi3H. Source: Alexandria, functional PBE.

The structure in POSCAR format:
```
HfTi3H
1.0
4.919 0.000 0.000
0.000 4.919 0.000
0.000 0.000 4.919
Hf Ti H
1 3 1
direct
0.000 0.000 0.000
0.000 0.000 0.500
0.000 0.500 0.000
0.500 0.000 0.000
0.500 0.500 0.500
```

Calculated values
E above lowest polymorph (meV/atom): 1916
Crystal system: cubic
Total magnetization (μB per cell): 2.93

***

Entry 11:
A relaxed structure of BPbSe2N. Source: Alexandria, functional PBE.

The structure in POSCAR format:
```
BPbSe2N
1.0
5.575 0.000 0.000
0.000 5.575 0.000
0.000 0.000 4.510
B Pb Se N
1 1 2 1
direct
0.000 0.000 0.000
0.500 0.500 0.500
0.000 0.500 0.500
0.500 0.000 0.500
0.500 0.500 0.000
```

Calculated values
E above lowest polymorph (meV/atom): 1785
Crystal system: tetragonal
Total magnetization (μB per cell): 2.10
Formation energy from raw total energies (eV/f.u.): 9.6

***

Entry 12:
A relaxed structure of Li2CePbSe4. Source: Alexandria, functional PBE.

The structure in POSCAR format:
```
Li2CePbSe4
1.0
6.894 0.000 0.000
0.000 4.197 0.000
-2.586 0.000 6.905
Li Ce Pb Se
2 1 1 4
direct
0.000 0.000 0.000
0.000 0.500 0.500
0.500 0.000 0.500
0.500 0.500 0.000
0.238 0.000 0.724
0.242 0.500 0.259
0.758 0.500 0.741
0.762 0.000 0.276
```

Calculated values
Crystal system: monoclinic
Total magnetization (μB per cell): 0.14
Formation energy from raw total energies (eV/f.u.): -9.6

***

no.,mass density (g/cm³)
1,4.8
2,10.6
3,4.7
4,7.6
5,7.7
6,4.7
7,5.0
8,4.9
9,8.1
10,4.5
11,4.6
12,5.6